6
Lattice="-3.1829 2.2064 0.7814 -1.6305 -4.4656 5.9620 3.5462 3.4422 4.7535" Properties=species:S:1:pos:R:3 comment="PBE DyInI, relaxed" formation_energy_uncorrected_mev_per_atom=-546 space_group="P-1 (2)" dos_at_fermi_per_ev_atom=0.735 m_tot_mub_per_atom=0.0000 pbc="T T T"
I 0.9664 0.6765 7.0184
I -2.2335 0.5064 4.4785
Dy -1.9711 -0.2020 7.5148
Dy 0.7040 1.3850 3.9821
In -1.8216 -3.2277 6.6825
In 0.5545 4.4107 4.8144